No. 1
Material: Cd2FeNi
Method: DFT, PBEsol
State: optimized geometry

Values from the calculation:
- Distance to the lowest polymorph of the same formula: 0 meV/atom
- SG: I4/mmm, No. 139
- Size of the total moment: 2.73 μB per cell

Unit cell a=4.1227 b=4.5743 c=4.1227 alpha=63.22 beta=90.00 gamma=116.78
With the nearest neighbours (Å) after each atom.
Atoms (fractional coordinates):
Cd  0.2500  0.5000  0.2500  4 Fe 2.71, 4 Ni 2.71, 4 Cd 2.92
Cd  0.7500  0.5000  0.7500  4 Ni 2.71, 4 Fe 2.71, 4 Cd 2.92
Fe  0.0000  0.0000  0.0000  8 Cd 2.71, 4 Ni 2.92
Ni  0.5000  0.0000  0.5000  8 Cd 2.71, 4 Fe 2.92

***

No. 2
Material: Cd2FeNi
Method: DFT, PBEsol
State: optimized geometry

Values from the calculation:
- Distance to the lowest polymorph of the same formula: 44 meV/atom
- SG: C2/m, No. 12
- Size of the total moment: 3.04 μB per cell

Unit cell a=2.8164 b=4.7194 c=4.8753 alpha=100.43 beta=90.00 gamma=107.36
With the nearest neighbours (Å) after each atom.
Atoms (fractional coordinates):
Cd  0.7537  0.5074  0.7538  3 Ni 2.71-2.78, 3 Fe 2.74-2.77, 6 Cd 2.80-2.84
Cd  0.2463  0.4926  0.2462  3 Ni 2.71-2.78, 3 Fe 2.74-2.77, 6 Cd 2.80-2.84
Fe  0.0000  0.0000  0.5000  6 Cd 2.74-2.77, 4 Ni 2.82, 2 Fe 2.82
Ni  0.5000  0.0000  0.0000  6 Cd 2.71-2.78, 4 Fe 2.82, 2 Ni 2.82

***

No. 3
Material: CdFeNiRh2
Method: DFT, PBEsol
State: optimized geometry

Values from the calculation:
- SG: P4/mmm, No. 123
- VASP energy: -4.3932 eV/atom
- Size of the total moment: 5.55 μB per cell

Unit cell a=4.5754 b=4.7573 c=4.7573 alpha=90.00 beta=90.00 gamma=90.00
With the nearest neighbours (Å) after each atom.
Atoms (fractional coordinates):
Ni  0.5000  0.5000  0.5000  8 Rh 3.30, 4 Fe 3.36
Rh  0.0000  0.0000  0.5000  2 Cd 2.38
Rh  0.0000  0.5000  0.0000  2 Cd 2.38
Fe  0.5000  0.0000  0.0000  2 Cd 2.29
Cd  0.0000  0.0000  0.0000  2 Fe 2.29, 4 Rh 2.38

***

No. 4
Material: CdFeO2
Method: DFT, PBEsol
State: optimized geometry

Values from the calculation:
- SG: I-42d, No. 122
- Formation energy from raw total energies: -0.870 eV/atom
- Size of the total moment: 8.45 μB per cell

Unit cell a=4.8425 b=4.8425 c=5.8587 alpha=114.41 beta=114.41 gamma=90.00
With the nearest neighbours (Å) after each atom.
Atoms (fractional coordinates):
Fe  0.7500  0.2500  0.5000  4 O 1.95
Fe  0.5000  0.5000  0.0000  4 O 1.95
O  0.4266  0.8750  0.2500  2 Fe 1.95
O  0.8234  0.3750  0.2500  2 Fe 1.95
O  0.1250  0.1766  0.7500  2 Fe 1.95
O  0.6250  0.5734  0.7500  2 Fe 1.95
Cd  0.2500  0.7500  0.5000  4 O 2.24
Cd  0.0000  0.0000  0.0000  4 O 2.24

***

No. 5
Material: CdFe2O4
Method: DFT, PBEsol
State: optimized geometry

Values from the calculation:
- SG: Fd-3m, No. 227
- Formation energy from raw total energies: -1.113 eV/atom
- Size of the total moment: 3.99 μB per cell

Unit cell a=5.9151 b=5.9151 c=5.9151 alpha=60.00 beta=60.00 gamma=60.00
With the nearest neighbours (Å) after each atom.
Atoms (fractional coordinates):
Cd  0.7500  0.7500  0.7500  4 O 2.12
Cd  0.5000  0.5000  0.5000  4 O 2.12
Fe  0.1250  0.1250  0.1250  6 O 1.93
Fe  0.6250  0.1250  0.1250  6 O 1.93
Fe  0.1250  0.6250  0.1250  6 O 1.93
Fe  0.1250  0.1250  0.6250  6 O 1.93
O  0.9392  0.3536  0.3536  3 Fe 1.93, 1 Cd 2.12
O  0.8964  0.8964  0.8964  3 Fe 1.93, 1 Cd 2.12
O  0.8964  0.3108  0.8964  3 Fe 1.93, 1 Cd 2.12
O  0.8964  0.8964  0.3108  3 Fe 1.93, 1 Cd 2.12
O  0.3536  0.9392  0.3536  3 Fe 1.93, 1 Cd 2.12
O  0.3536  0.3536  0.9392  3 Fe 1.93, 1 Cd 2.12
O  0.3108  0.8964  0.8964  3 Fe 1.93, 1 Cd 2.12
O  0.3536  0.3536  0.3536  3 Fe 1.93, 1 Cd 2.12

***

No. 6
Material: Cd3FeO
Method: DFT, PBEsol
State: optimized geometry

Values from the calculation:
- SG: Pm-3m, No. 221
- Formation energy from raw total energies: 0.997 eV/atom
- Size of the total moment: 3.77 μB per cell

Unit cell a=4.9424 b=4.9424 c=4.9424 alpha=90.00 beta=90.00 gamma=90.00
With the nearest neighbours (Å) after each atom.
Atoms (fractional coordinates):
Fe  0.0000  0.0000  0.0000  6 Cd 2.47
O  0.5000  0.5000  0.5000  12 Cd 3.49
Cd  0.0000  0.5000  0.0000  2 Fe 2.47
Cd  0.0000  0.0000  0.5000  2 Fe 2.47
Cd  0.5000  0.0000  0.0000  2 Fe 2.47

***

No. 7
Material: CdFePO2
Method: DFT, PBEsol
State: optimized geometry

Values from the calculation:
- Distance to the lowest polymorph of the same formula: 0 meV/atom
- SG: P4/mmm, No. 123
- Formation energy from raw total energies: -0.460 eV/atom
- Size of the total moment: 2.84 μB per cell

Unit cell a=3.6488 b=3.6488 c=4.8290 alpha=90.00 beta=90.00 gamma=90.00
With the nearest neighbours (Å) after each atom.
Atoms (fractional coordinates):
P  0.0000  0.0000  0.5000  2 Fe 2.41, 4 Cd 2.58
Fe  0.0000  0.0000  0.0000  4 O 1.82
O  0.0000  0.5000  0.0000  2 Fe 1.82
O  0.5000  0.0000  0.0000  2 Fe 1.82
Cd  0.5000  0.5000  0.5000  4 P 2.58

***

No. 8
Material: CdFePO2
Method: DFT, PBEsol
State: optimized geometry

Values from the calculation:
- Distance to the lowest polymorph of the same formula: 1281 meV/atom
- SG: P4/mmm, No. 123
- Formation energy from raw total energies: 0.821 eV/atom
- Size of the total moment: 4.24 μB per cell

Unit cell a=3.9534 b=3.9534 c=5.1180 alpha=90.00 beta=90.00 gamma=90.00
With the nearest neighbours (Å) after each atom.
Atoms (fractional coordinates):
P  0.0000  0.0000  0.5000  2 Cd 2.56, 4 Fe 2.80
Fe  0.5000  0.5000  0.5000  4 P 2.80
O  0.0000  0.5000  0.0000  2 Cd 1.98
O  0.5000  0.0000  0.0000  2 Cd 1.98
Cd  0.0000  0.0000  0.0000  4 O 1.98

***

No. 9
Material: CdFe2Sb2P6O24
Method: DFT, PBEsol
State: optimized geometry

Values from the calculation:
- SG: R-3, No. 148
- Formation energy from raw total energies: -1.859 eV/atom
- Size of the total moment: 10.00 μB per cell

Unit cell a=8.3634 b=8.3634 c=8.7960 alpha=61.61 beta=61.61 gamma=60.00
With the nearest neighbours (Å) after each atom.
Atoms (fractional coordinates):
Cd  0.0000  0.0000  0.0000  6 O 2.37
Fe  0.1475  0.1475  0.5576  6 O 1.92-2.08
Fe  0.8525  0.8525  0.4424  6 O 1.92-2.08
Sb  0.6465  0.6465  0.0606  6 O 1.97
Sb  0.3535  0.3535  0.9394  6 O 1.97
P  0.5445  0.2447  0.2480  4 O 1.51-1.57
P  0.2447  0.9627  0.2480  4 O 1.51-1.57
P  0.9627  0.5445  0.2480  4 O 1.51-1.57
P  0.0373  0.4555  0.7520  4 O 1.51-1.57
P  0.7553  0.0373  0.7520  4 O 1.51-1.57
P  0.4555  0.7553  0.7520  4 O 1.51-1.57
O  0.2250  0.1591  0.0871  1 P 1.57
O  0.5410  0.1833  0.7868  1 P 1.56
O  0.4890  0.5410  0.7868  1 P 1.56
O  0.1833  0.4890  0.7868  1 P 1.56
O  0.9947  0.3891  0.4238  1 P 1.51
O  0.1591  0.5288  0.0871  1 P 1.57
O  0.3891  0.1924  0.4238  1 P 1.51
O  0.5288  0.2250  0.0871  1 P 1.57
O  0.2465  0.8889  0.7524  1 P 1.53
O  0.1122  0.2465  0.7524  1 P 1.53
O  0.8889  0.1122  0.7524  1 P 1.53
O  0.8076  0.0053  0.5762  1 P 1.51
O  0.1924  0.9947  0.4238  1 P 1.51
O  0.1111  0.8878  0.2476  1 P 1.53
O  0.8878  0.7535  0.2476  1 P 1.53
O  0.7535  0.1111  0.2476  1 P 1.53
O  0.4712  0.7750  0.9129  1 P 1.57
O  0.6109  0.8076  0.5762  1 P 1.51
O  0.8409  0.4712  0.9129  1 P 1.57
O  0.0053  0.6109  0.5762  1 P 1.51
O  0.8167  0.5110  0.2132  1 P 1.56
O  0.5110  0.4590  0.2132  1 P 1.56
O  0.4590  0.8167  0.2132  1 P 1.56
O  0.7750  0.8409  0.9129  1 P 1.57

***

No. 10
Material: CdFeSnP3O12
Method: DFT, PBEsol
State: optimized geometry

Values from the calculation:
- SG: R3c, No. 161
- Formation energy from raw total energies: -1.899 eV/atom
- Size of the total moment: 10.00 μB per cell

Unit cell a=8.6652 b=8.6652 c=8.7865 alpha=60.46 beta=60.46 gamma=60.00
With the nearest neighbours (Å) after each atom.
Atoms (fractional coordinates):
Cd  0.9976  0.9976  0.0071  6 O 2.28-2.37
Cd  0.4976  0.4976  0.5071  6 O 2.28-2.37
Fe  0.3529  0.3529  0.9414  6 O 1.92-2.10
Fe  0.8529  0.8529  0.4414  6 O 1.92-2.10
Sn  0.1463  0.1463  0.5610  6 O 2.00-2.07
Sn  0.6463  0.6463  0.0610  6 O 2.00-2.07
P  0.7492  0.4588  0.7462  4 O 1.52-1.57
P  0.0458  0.7492  0.7462  4 O 1.52-1.57
P  0.4588  0.0458  0.7462  4 O 1.52-1.57
P  0.5458  0.9588  0.2462  4 O 1.52-1.57
P  0.9588  0.2492  0.2462  4 O 1.52-1.57
P  0.2492  0.5458  0.2462  4 O 1.52-1.57
O  0.3093  0.5006  0.0741  1 P 1.52
O  0.5006  0.1160  0.0741  1 P 1.52
O  0.9147  0.2645  0.7559  1 P 1.57
O  0.1160  0.3093  0.0741  1 P 1.52
O  0.8093  0.6160  0.5741  1 P 1.52
O  0.5826  0.4420  0.7423  1 P 1.54
O  0.0649  0.9147  0.7559  1 P 1.57
O  0.2330  0.5826  0.7423  1 P 1.54
O  0.3879  0.9835  0.4283  1 P 1.54
O  0.4420  0.2330  0.7423  1 P 1.54
O  0.7330  0.9420  0.2423  1 P 1.54
O  0.9835  0.2002  0.4283  1 P 1.54
O  0.0006  0.8093  0.5741  1 P 1.52
O  0.2645  0.0649  0.7559  1 P 1.57
O  0.5649  0.7645  0.2559  1 P 1.57
O  0.6160  0.0006  0.5741  1 P 1.52
O  0.7645  0.4147  0.2559  1 P 1.57
O  0.9420  0.0826  0.2423  1 P 1.54
O  0.4147  0.5649  0.2559  1 P 1.57
O  0.2002  0.3879  0.4283  1 P 1.54
O  0.8879  0.7002  0.9283  1 P 1.54
O  0.0826  0.7330  0.2423  1 P 1.54
O  0.4835  0.8879  0.9283  1 P 1.54
O  0.7002  0.4835  0.9283  1 P 1.54

***

No. 11
Material: CdFeOs2
Method: DFT, PBEsol
State: optimized geometry

Values from the calculation:
- Distance to the lowest polymorph of the same formula: 0 meV/atom
- SG: Pmm2, No. 25
- Size of the total moment: 2.69 μB per cell

Unit cell a=2.7520 b=3.8029 c=5.6096 alpha=90.00 beta=90.00 gamma=90.00
With the nearest neighbours (Å) after each atom.
Atoms (fractional coordinates):
Cd  0.0000  0.0000  0.5117  2 Cd 2.75, 4 Fe 2.76, 6 Os 2.79-2.89
Fe  0.5000  0.5000  0.7700  5 Os 2.47-2.70, 2 Fe 2.75, 4 Cd 2.76
Os  0.0000  0.0000  0.0085  6 Os 2.60-2.75, 4 Fe 2.70, 2 Cd 2.79-2.82
Os  0.5000  0.5000  0.2097  1 Fe 2.47, 6 Os 2.60-2.75

***

No. 12
Material: CdFe2Os
Method: DFT, PBEsol
State: optimized geometry

Values from the calculation:
- SG: P4mm, No. 99
- VASP energy: -7.5179 eV/atom
- Size of the total moment: 3.63 μB per cell

Unit cell a=2.7002 b=2.7002 c=7.4975 alpha=90.00 beta=90.00 gamma=90.00
With the nearest neighbours (Å) after each atom.
Atoms (fractional coordinates):
Cd  0.5000  0.5000  0.7562  4 Cd 2.70, 4 Fe 2.82, 4 Os 2.94
Fe  0.0000  0.0000  0.0323  8 Fe 2.53-2.70, 4 Cd 2.82
Fe  0.5000  0.5000  0.2532  4 Os 2.45, 8 Fe 2.53-2.70
Os  0.0000  0.0000  0.4583  4 Fe 2.45, 4 Os 2.70